(1)
Density functional theory data (GGA-PBE) for a geometry-optimized TmSc4Rh5 structure.

abc: 3.224 3.224 16.643
angles: 90.00 90.00 90.00
Space group P4/mmm (No. 123)
Unique sites:
Tm1 0.000 0.000 0.000
Sc1 0.000 0.000 0.205
Sc2 0.000 0.000 0.402
Rh1 0.500 0.500 0.108
Rh2 0.500 0.500 0.304
Rh3 0.500 0.500 0.500

As for the formation energy: -1000 meV per atom. The raw total energy comes out at -7.656 eV per atom. The density of states at the Fermi level is 0.475 states/eV/atom.

---

(2)
Density functional theory data (GGA-PBE) for a geometry-optimized ThZrTiMo structure.

abc: 6.969 6.969 6.969
angles: 90.00 90.00 90.00
Space group F-43m (No. 216)
Unique sites:
Th1 0.000 0.000 0.000
Zr1 0.000 0.000 0.500
Ti1 0.250 0.250 0.250
Mo1 0.250 0.250 0.750

As for the formation energy: 136 meV per atom. The raw total energy comes out at -8.538 eV per atom. The density of states at the Fermi level is 1.775 states/eV/atom.

---

(3)
Density functional theory data (GGA-PBE) for a geometry-optimized SrIn2As structure.

abc: 3.984 3.984 6.963
angles: 90.00 90.00 90.00
Space group P4mm (No. 99)
Unique sites:
Sr1 0.000 0.000 0.000
In1 0.000 0.000 0.468
In2 0.500 0.500 0.682
As1 0.500 0.500 0.270

As for the formation energy: -367 meV per atom. The raw total energy comes out at -3.319 eV per atom. The density of states at the Fermi level is 0.517 states/eV/atom.

---

Q: What is the formula in the third record?
A: SrIn2As